1.
# Os3C4

Crystalline Os3C4 at its relaxed geometry (GGA-PBE, Alexandria).

Calculated values
ΔE_f	1.429	eV per atom

Cell lengths 8.8076, 8.8076, 8.8076 Å; angles 161.63, 161.63, 26.09 degrees
Positions (direct):
Os 0.0000 0.0000 0.0000
Os 0.6815 0.6815 0.0000
Os 0.3185 0.3185 0.0000
C 0.8636 0.8636 0.0000
C 0.1364 0.1364 0.0000
C 0.5608 0.5608 0.0000
C 0.4392 0.4392 0.0000

=====

2.
# ZnTcP2

Crystalline ZnTcP2 at its relaxed geometry (GGA-PBE, Alexandria).

Calculated values
ΔE_f	-0.160	eV per atom

Cell lengths 6.6292, 6.6292, 3.2911 Å; angles 90.00, 90.00, 26.02 degrees
Positions (direct):
P 0.0311 0.0311 0.1248
P 0.8042 0.8042 0.6252
Tc 0.4499 0.4499 0.6248
Zn 0.2147 0.2147 0.1252

=====

3.
# CaYHo2Au4

Crystalline CaYHo2Au4 at its relaxed geometry (GGA-PBE, Alexandria).

Calculated values
ΔE_f	-0.847	eV per atom

Cell lengths 5.0756, 5.0756, 8.8474 Å; angles 73.33, 73.33, 60.00 degrees
Positions (direct):
Ca 0.0000 0.0000 0.0000
Y 0.5000 0.5000 0.5000
Ho 0.7483 0.7483 0.7552
Ho 0.2517 0.2517 0.2448
Au 0.3782 0.3782 0.8654
Au 0.8702 0.8702 0.3895
Au 0.1298 0.1298 0.6105
Au 0.6218 0.6218 0.1346

=====

4.
# Ce2YAg6

Crystalline Ce2YAg6 at its relaxed geometry (GGA-PBE, Alexandria).

Calculated values
ΔE_f	-0.188	eV per atom

Cell lengths 3.2439, 8.4805, 8.4805 Å; angles 60.00, 90.00, 90.00 degrees
Positions (direct):
Ce 0.0000 0.3333 0.3333
Ce 0.0000 0.6667 0.6667
Y 0.0000 0.0000 0.0000
Ag 0.4997 0.6689 0.0000
Ag 0.5003 0.0000 0.3311
Ag 0.5003 0.3311 0.0000
Ag 0.5000 0.6689 0.3311
Ag 0.4997 0.0000 0.6689
Ag 0.5000 0.3311 0.6689

=====

5.
# Ta2SbIr

Crystalline Ta2SbIr at its relaxed geometry (GGA-PBE, Alexandria).

Cell lengths 3.9623, 3.9623, 10.2721 Å; angles 78.88, 78.88, 90.00 degrees
Positions (direct):
Sb 0.5000 0.5000 0.0000
Sb 0.2500 0.7500 0.5000
Ir 0.0000 0.0000 0.0000
Ir 0.7500 0.2500 0.5000
Ta 0.6234 0.1250 0.2500
Ta 0.1266 0.6250 0.2500
Ta 0.3750 0.3766 0.7500
Ta 0.8750 0.8734 0.7500

=====

6.
# Pm4Sn3Ge2

Crystalline Pm4Sn3Ge2 at its relaxed geometry (GGA-PBE, Alexandria).

Calculated values
ΔE_f	-0.715	eV per atom

Cell lengths 6.1367, 9.4146, 9.4146 Å; angles 66.22, 80.28, 80.28 degrees
Positions (direct):
Pm 0.4660 0.8471 0.2952
Pm 0.0340 0.7048 0.1529
Pm 0.5340 0.1529 0.7048
Pm 0.9660 0.2952 0.8471
Pm 0.0905 0.2064 0.4357
Pm 0.4095 0.5643 0.7936
Pm 0.9095 0.7936 0.5643
Pm 0.5905 0.4357 0.2064
Sn 0.9654 0.0335 0.2027
Sn 0.5346 0.7973 0.9665
Sn 0.0346 0.9665 0.7973
Sn 0.4654 0.2027 0.0335
Sn 0.2500 0.5015 0.4985
Sn 0.7500 0.4985 0.5015
Ge 0.6188 0.1018 0.4073
Ge 0.8812 0.5927 0.8982
Ge 0.3812 0.8982 0.5927
Ge 0.1188 0.4073 0.1018

=====

7.
# Sm3HoC2

Crystalline Sm3HoC2 at its relaxed geometry (GGA-PBE, Alexandria).

Calculated values
ΔE_f	-0.192	eV per atom

Cell lengths 3.6359, 8.4521, 9.9097 Å; angles 89.20, 79.43, 77.58 degrees
Positions (direct):
Sm 0.0597 0.0833 0.7973
Sm 0.9403 0.9167 0.2027
Sm 0.6892 0.6690 0.9526
Sm 0.3108 0.3310 0.0474
Sm 0.8101 0.8294 0.5504
Sm 0.1899 0.1706 0.4496
Ho 0.4410 0.4153 0.7028
Ho 0.5590 0.5847 0.2972
C 0.8758 0.3790 0.8693
C 0.1242 0.6210 0.1307
C 0.6231 0.1298 0.6240
C 0.3769 0.8702 0.3760

=====

8.
# V2SnMo

Crystalline V2SnMo at its relaxed geometry (GGA-PBE, Alexandria).

Calculated values
ΔE_f	0.247	eV per atom

Cell lengths 3.0544, 3.0544, 8.5284 Å; angles 79.68, 79.68, 60.00 degrees
Positions (direct):
Mo 0.0000 0.0000 0.0000
Sn 0.5000 0.5000 0.5000
V 0.2588 0.2588 0.2237
V 0.7412 0.7412 0.7763

=====

Total DFT energy (no corrections) / eV per atom: -8.655, -5.775, -4.688, -4.126, -8.818, -5.187, -6.389, -8.020